Record 1
Computed, not measured: crystalline Tl12Se5S3 at its relaxed geometry at the PBE level of DFT.

Structure (CIF):
```
data_Tl12Se5S3
_chemical_formula_sum 'Tl48 Se20 S12'
_space_group_name_H-M_alt 'P 1'
_space_group_IT_number 1
_cell_length_a 15.532
_cell_length_b 15.532
_cell_length_c 15.532
_cell_angle_alpha 109.47
_cell_angle_beta 109.47
_cell_angle_gamma 109.47
loop_
_space_group_symop_operation_xyz
'x,y,z'
loop_
_atom_site_label
_atom_site_type_symbol
_atom_site_fract_x
_atom_site_fract_y
_atom_site_fract_z
Tl1 Tl 0.056 0.223 0.150
Tl2 Tl 0.056 0.334 0.907
Tl3 Tl 0.073 0.723 0.666
Tl4 Tl 0.073 0.850 0.407
Tl5 Tl 0.093 0.650 0.427
Tl6 Tl 0.093 0.944 0.666
Tl7 Tl 0.150 0.056 0.223
Tl8 Tl 0.150 0.593 0.927
Tl9 Tl 0.166 0.223 0.573
Tl10 Tl 0.166 0.444 0.593
Tl11 Tl 0.223 0.150 0.056
Tl12 Tl 0.223 0.573 0.166
Tl13 Tl 0.277 0.334 0.927
Tl14 Tl 0.277 0.444 0.350
Tl15 Tl 0.334 0.907 0.056
Tl16 Tl 0.334 0.927 0.277
Tl17 Tl 0.350 0.277 0.444
Tl18 Tl 0.350 0.573 0.907
Tl19 Tl 0.407 0.073 0.850
Tl20 Tl 0.407 0.834 0.556
Tl21 Tl 0.427 0.093 0.650
Tl22 Tl 0.427 0.834 0.777
Tl23 Tl 0.444 0.350 0.277
Tl24 Tl 0.444 0.593 0.166
Tl25 Tl 0.556 0.407 0.834
Tl26 Tl 0.556 0.650 0.723
Tl27 Tl 0.573 0.166 0.223
Tl28 Tl 0.573 0.907 0.350
Tl29 Tl 0.593 0.166 0.444
Tl30 Tl 0.593 0.927 0.150
Tl31 Tl 0.650 0.427 0.093
Tl32 Tl 0.650 0.723 0.556
Tl33 Tl 0.666 0.073 0.723
Tl34 Tl 0.666 0.093 0.944
Tl35 Tl 0.723 0.556 0.650
Tl36 Tl 0.723 0.666 0.073
Tl37 Tl 0.777 0.427 0.834
Tl38 Tl 0.777 0.850 0.944
Tl39 Tl 0.834 0.556 0.407
Tl40 Tl 0.834 0.777 0.427
Tl41 Tl 0.850 0.407 0.073
Tl42 Tl 0.850 0.944 0.777
Tl43 Tl 0.907 0.056 0.334
Tl44 Tl 0.907 0.350 0.573
Tl45 Tl 0.927 0.150 0.593
Tl46 Tl 0.927 0.277 0.334
Tl47 Tl 0.944 0.666 0.093
Tl48 Tl 0.944 0.777 0.850
Se1 Se 0.000 0.000 0.000
Se2 Se 0.000 0.000 0.500
Se3 Se 0.000 0.500 0.000
Se4 Se 0.000 0.500 0.500
Se5 Se 0.125 0.750 0.875
Se6 Se 0.125 0.875 0.250
Se7 Se 0.250 0.125 0.875
Se8 Se 0.250 0.625 0.375
Se9 Se 0.375 0.250 0.625
Se10 Se 0.375 0.625 0.750
Se11 Se 0.500 0.000 0.000
Se12 Se 0.500 0.000 0.500
Se13 Se 0.500 0.500 0.000
Se14 Se 0.500 0.500 0.500
Se15 Se 0.625 0.375 0.250
Se16 Se 0.625 0.750 0.375
Se17 Se 0.750 0.375 0.625
Se18 Se 0.750 0.875 0.125
Se19 Se 0.875 0.125 0.750
Se20 Se 0.875 0.250 0.125
S1 S 0.125 0.250 0.375
S2 S 0.125 0.375 0.750
S3 S 0.250 0.375 0.125
S4 S 0.250 0.875 0.625
S5 S 0.375 0.125 0.250
S6 S 0.375 0.750 0.125
S7 S 0.625 0.250 0.875
S8 S 0.625 0.875 0.750
S9 S 0.750 0.125 0.375
S10 S 0.750 0.625 0.875
S11 S 0.875 0.625 0.250
S12 S 0.875 0.750 0.625
```

Energy relative to the lowest polymorph listed for this composition   83 meV/atom

***

Record 2
Computed, not measured: crystalline Ba2SnS4 at its relaxed geometry at the PBE level of DFT.

Structure (CIF):
```
data_Ba2SnS4
_chemical_formula_sum 'Ba16 Sn8 S32'
_space_group_name_H-M_alt 'P 1'
_space_group_IT_number 1
_cell_length_a 18.095
_cell_length_b 7.544
_cell_length_c 12.794
_cell_angle_alpha 90.00
_cell_angle_beta 90.00
_cell_angle_gamma 90.00
loop_
_space_group_symop_operation_xyz
'x,y,z'
loop_
_atom_site_label
_atom_site_type_symbol
_atom_site_fract_x
_atom_site_fract_y
_atom_site_fract_z
Ba1 Ba 0.052 0.222 0.139
Ba2 Ba 0.122 0.196 0.763
Ba3 Ba 0.128 0.714 0.382
Ba4 Ba 0.190 0.691 0.000
Ba5 Ba 0.310 0.191 0.500
Ba6 Ba 0.372 0.214 0.882
Ba7 Ba 0.378 0.696 0.263
Ba8 Ba 0.448 0.722 0.639
Ba9 Ba 0.552 0.278 0.139
Ba10 Ba 0.622 0.304 0.763
Ba11 Ba 0.628 0.786 0.382
Ba12 Ba 0.690 0.809 0.000
Ba13 Ba 0.810 0.309 0.500
Ba14 Ba 0.872 0.286 0.882
Ba15 Ba 0.878 0.804 0.263
Ba16 Ba 0.948 0.778 0.639
Sn1 Sn 0.025 0.272 0.490
Sn2 Sn 0.236 0.707 0.655
Sn3 Sn 0.264 0.207 0.155
Sn4 Sn 0.475 0.772 0.990
Sn5 Sn 0.525 0.228 0.490
Sn6 Sn 0.736 0.793 0.655
Sn7 Sn 0.764 0.293 0.155
Sn8 Sn 0.975 0.728 0.990
S1 S 0.011 0.040 0.365
S2 S 0.036 0.461 0.925
S3 S 0.043 0.797 0.148
S4 S 0.120 0.845 0.616
S5 S 0.148 0.356 0.533
S6 S 0.193 0.467 0.208
S7 S 0.197 0.123 0.997
S8 S 0.246 0.492 0.793
S9 S 0.254 0.992 0.293
S10 S 0.303 0.623 0.497
S11 S 0.307 0.967 0.708
S12 S 0.352 0.856 0.033
S13 S 0.380 0.345 0.116
S14 S 0.457 0.297 0.648
S15 S 0.464 0.961 0.425
S16 S 0.489 0.540 0.865
S17 S 0.511 0.460 0.365
S18 S 0.536 0.039 0.925
S19 S 0.543 0.703 0.148
S20 S 0.620 0.655 0.616
S21 S 0.648 0.144 0.533
S22 S 0.693 0.033 0.208
S23 S 0.697 0.377 0.997
S24 S 0.746 0.008 0.793
S25 S 0.754 0.508 0.293
S26 S 0.803 0.877 0.497
S27 S 0.807 0.533 0.708
S28 S 0.852 0.644 0.033
S29 S 0.880 0.155 0.116
S30 S 0.957 0.203 0.648
S31 S 0.964 0.539 0.425
S32 S 0.989 0.960 0.865
```

Final energy   -4.896 eV/atom

***

Record 3
Computed, not measured: crystalline B4Pb at its relaxed geometry at the PBE level of DFT.

Structure (CIF):
```
data_B4Pb
_chemical_formula_sum 'B4 Pb1'
_space_group_name_H-M_alt 'P 1'
_space_group_IT_number 1
_cell_length_a 4.688
_cell_length_b 4.688
_cell_length_c 4.688
_cell_angle_alpha 90.00
_cell_angle_beta 90.00
_cell_angle_gamma 90.00
loop_
_space_group_symop_operation_xyz
'x,y,z'
loop_
_atom_site_label
_atom_site_type_symbol
_atom_site_fract_x
_atom_site_fract_y
_atom_site_fract_z
B1 B 0.000 0.000 0.000
B2 B 0.000 0.500 0.500
B3 B 0.500 0.000 0.500
B4 B 0.500 0.500 0.000
Pb1 Pb 0.500 0.500 0.500
```

Energy of formation   1623 kJ/mol of formula units

***

Record 4
Computed, not measured: crystalline Mg3BiN at its relaxed geometry at the PBE level of DFT.

Structure (CIF):
```
data_Mg3BiN
_chemical_formula_sum 'Mg6 Bi2 N2'
_space_group_name_H-M_alt 'P 1'
_space_group_IT_number 1
_cell_length_a 7.171
_cell_length_b 7.171
_cell_length_c 7.171
_cell_angle_alpha 49.49
_cell_angle_beta 49.49
_cell_angle_gamma 49.49
loop_
_space_group_symop_operation_xyz
'x,y,z'
loop_
_atom_site_label
_atom_site_type_symbol
_atom_site_fract_x
_atom_site_fract_y
_atom_site_fract_z
Mg1 Mg 0.071 0.567 0.074
Mg2 Mg 0.074 0.071 0.567
Mg3 Mg 0.433 0.926 0.929
Mg4 Mg 0.567 0.074 0.071
Mg5 Mg 0.926 0.929 0.433
Mg6 Mg 0.929 0.433 0.926
Bi1 Bi 0.379 0.379 0.379
Bi2 Bi 0.621 0.621 0.621
N1 N 0.164 0.164 0.164
N2 N 0.836 0.836 0.836
```

Final energy   -3.802 eV/atom

***

Record 5
Computed, not measured: crystalline Cs5HoS5 at its relaxed geometry at the PBE level of DFT.

Structure (CIF):
```
data_Cs5HoS5
_chemical_formula_sum 'Cs5 Ho1 S5'
_space_group_name_H-M_alt 'P 1'
_space_group_IT_number 1
_cell_length_a 8.701
_cell_length_b 8.701
_cell_length_c 8.976
_cell_angle_alpha 108.42
_cell_angle_beta 108.42
_cell_angle_gamma 44.06
loop_
_space_group_symop_operation_xyz
'x,y,z'
loop_
_atom_site_label
_atom_site_type_symbol
_atom_site_fract_x
_atom_site_fract_y
_atom_site_fract_z
Cs1 Cs 0.000 0.000 0.000
Cs2 Cs 0.302 0.302 0.203
Cs3 Cs 0.337 0.337 0.678
Cs4 Cs 0.663 0.663 0.322
Cs5 Cs 0.698 0.698 0.797
Ho1 Ho 0.000 0.000 0.500
S1 S 0.133 0.133 0.384
S2 S 0.133 0.133 0.785
S3 S 0.500 0.500 0.500
S4 S 0.867 0.867 0.215
S5 S 0.867 0.867 0.616
```

Final energy   -3.712 eV/atom

***

Record 6
Computed, not measured: crystalline BeZnPt2 at its relaxed geometry at the PBE level of DFT.

Structure (CIF):
```
data_BeZnPt2
_chemical_formula_sum 'Be1 Zn1 Pt2'
_space_group_name_H-M_alt 'P 1'
_space_group_IT_number 1
_cell_length_a 2.803
_cell_length_b 3.946
_cell_length_c 5.064
_cell_angle_alpha 90.00
_cell_angle_beta 105.72
_cell_angle_gamma 90.00
loop_
_space_group_symop_operation_xyz
'x,y,z'
loop_
_atom_site_label
_atom_site_type_symbol
_atom_site_fract_x
_atom_site_fract_y
_atom_site_fract_z
Be1 Be 0.000 0.000 0.000
Zn1 Zn 0.838 0.500 0.679
Pt1 Pt 0.245 0.000 0.488
Pt2 Pt 0.559 0.500 0.130
```

Energy of formation   -186 kJ/mol of formula units
Energy relative to the lowest polymorph listed for this composition   198 meV/atom

***

Record 7
Computed, not measured: crystalline Sm3Pt at its relaxed geometry at the PBE level of DFT.

Structure (CIF):
```
data_Sm3Pt
_chemical_formula_sum 'Sm3 Pt1'
_space_group_name_H-M_alt 'P 1'
_space_group_IT_number 1
_cell_length_a 3.697
_cell_length_b 3.719
_cell_length_c 9.255
_cell_angle_alpha 90.00
_cell_angle_beta 90.00
_cell_angle_gamma 90.00
loop_
_space_group_symop_operation_xyz
'x,y,z'
loop_
_atom_site_label
_atom_site_type_symbol
_atom_site_fract_x
_atom_site_fract_y
_atom_site_fract_z
Sm1 Sm 0.000 0.000 0.000
Sm2 Sm 0.000 0.500 0.344
Sm3 Sm 0.500 0.500 0.720
Pt1 Pt 0.500 0.000 0.479
```

Energy of formation   -141 kJ/mol of formula units

***

Record 8
Computed, not measured: crystalline Cr2MoPt at its relaxed geometry at the PBE level of DFT.

Structure (CIF):
```
data_Cr2MoPt
_chemical_formula_sum 'Cr6 Mo3 Pt3'
_space_group_name_H-M_alt 'P 1'
_space_group_IT_number 1
_cell_length_a 2.667
_cell_length_b 2.667
_cell_length_c 27.343
_cell_angle_alpha 90.00
_cell_angle_beta 90.00
_cell_angle_gamma 120.00
loop_
_space_group_symop_operation_xyz
'x,y,z'
loop_
_atom_site_label
_atom_site_type_symbol
_atom_site_fract_x
_atom_site_fract_y
_atom_site_fract_z
Cr1 Cr 0.000 0.000 0.248
Cr2 Cr 0.000 0.000 0.752
Cr3 Cr 0.333 0.667 0.419
Cr4 Cr 0.333 0.667 0.915
Cr5 Cr 0.667 0.333 0.085
Cr6 Cr 0.667 0.333 0.581
Mo1 Mo 0.000 0.000 0.000
Mo2 Mo 0.333 0.667 0.667
Mo3 Mo 0.667 0.333 0.333
Pt1 Pt 0.000 0.000 0.500
Pt2 Pt 0.333 0.667 0.167
Pt3 Pt 0.667 0.333 0.833
```

Energy of formation   93 kJ/mol of formula units